Entry 1:
Material: MgTl2Cl2F2
Method: DFT, PBE-GGA
State: optimized geometry

Output
The value obtained for the electronic total energy is -3.85 eV/atom. The calculation puts the density at 5091 kg/m3.

abc: 5.2215 5.2215 12.9675
angles: 90.00 90.00 90.00
Closest atoms and distances in Å follow each position.
Space group I4/mmm (No. 139)
Asymmetric unit:
1 Mg 0.0000 0.0000 0.0000  2 F 1.91
2 Tl 0.0000 0.0000 0.3447  1 F 2.56
3 Cl 0.0000 0.5000 0.0000  2 Mg 2.61
4 F 0.0000 0.0000 0.1473  1 Mg 1.91

=====

Entry 2:
Material: MgZnCl2F
Method: DFT, PBE-GGA
State: optimized geometry

Output
The value obtained for the electronic total energy is -2.83 eV/atom. The calculation puts the density at 2699 kg/m3.

abc: 5.5695 5.5695 3.5621
angles: 90.00 90.00 90.00
Closest atoms and distances in Å follow each position.
Space group P4/mmm (No. 123)
Asymmetric unit:
1 Mg 0.0000 0.0000 0.0000  2 F 1.78
2 Zn 0.5000 0.5000 0.0000  8 Cl 3.31, 2 Zn 3.56
3 Cl 0.0000 0.5000 0.5000  2 F 2.78
4 F 0.0000 0.0000 0.5000  2 Mg 1.78

=====

Uncorrected formation energy list, top to bottom, in eV/f.u.: -13.158, -5.711